No. 1
# HgW2C, optimized geometry, DFT PBE
data_HgW2C
_cell_length_a 6.178
_cell_length_b 6.178
_cell_length_c 6.178
_cell_angle_alpha 90.00
_cell_angle_beta 90.00
_cell_angle_gamma 90.00
_symmetry_space_group_name_H-M 'F m -3 m'
_symmetry_Int_Tables_number 225
_symmetry_space_group_name_Hall '-F 4 2 3'
loop_
_atom_site_label
_atom_site_type_symbol
_atom_site_fract_x
_atom_site_fract_y
_atom_site_fract_z
Hg1 Hg 0.000 0.000 0.000
W1 W 0.250 0.250 0.250
C1 C 0.000 0.000 0.500
# V	235.8	Å³/cell
# total energy	-7.04	eV/atom
# M_tot	0.000	μB/atom
# distance to the lowest polymorph of the same formula	0.547	eV/atom

=====

No. 2
# HgWC2, optimized geometry, DFT PBE
data_HgWC2
_cell_length_a 5.113
_cell_length_b 5.113
_cell_length_c 9.544
_cell_angle_alpha 90.00
_cell_angle_beta 90.00
_cell_angle_gamma 90.00
_symmetry_space_group_name_H-M 'I -4 2 d'
_symmetry_Int_Tables_number 122
_symmetry_space_group_name_Hall 'I -4 2bw'
loop_
_atom_site_label
_atom_site_type_symbol
_atom_site_fract_x
_atom_site_fract_y
_atom_site_fract_z
Hg1 Hg 0.000 0.000 0.000
W1 W 0.000 0.000 0.500
C1 C 0.183 0.250 0.625
# V	249.5	Å³/cell
# total energy	-6.95	eV/atom
# M_tot	0.000	μB/atom

=====

No. 3
# Y2Hg2C, optimized geometry, DFT PBE
data_Y2Hg2C
_cell_length_a 3.6364
_cell_length_b 3.6364
_cell_length_c 29.8916
_cell_angle_alpha 90.00
_cell_angle_beta 90.00
_cell_angle_gamma 120.00
_symmetry_space_group_name_H-M 'R -3 m'
_symmetry_Int_Tables_number 166
_symmetry_space_group_name_Hall '-R 3 2"'
loop_
_atom_site_label
_atom_site_type_symbol
_atom_site_fract_x
_atom_site_fract_y
_atom_site_fract_z
Y1 Y 0.0000 0.0000 0.1219
Hg1 Hg 0.0000 0.0000 0.3720
C1 C 0.0000 0.0000 0.5000
# V	342.3	Å³/cell
# total energy	-4.90	eV/atom
# M_tot	0.000	μB/atom

=====

No. 4
# Y2HgC, optimized geometry, DFT PBE
data_Y2HgC
_cell_length_a 6.965
_cell_length_b 6.965
_cell_length_c 6.965
_cell_angle_alpha 90.00
_cell_angle_beta 90.00
_cell_angle_gamma 90.00
_symmetry_space_group_name_H-M 'F m -3 m'
_symmetry_Int_Tables_number 225
_symmetry_space_group_name_Hall '-F 4 2 3'
loop_
_atom_site_label
_atom_site_type_symbol
_atom_site_fract_x
_atom_site_fract_y
_atom_site_fract_z
Y1 Y 0.250 0.250 0.250
Hg1 Hg 0.000 0.000 0.000
C1 C 0.000 0.000 0.500
# V	337.9	Å³/cell
# total energy	-5.17	eV/atom
# M_tot	0.000	μB/atom

=====

No. 5
# Y4Hg2C, optimized geometry, DFT PBE
data_Y4Hg2C
_cell_length_a 4.916
_cell_length_b 4.916
_cell_length_c 14.883
_cell_angle_alpha 90.00
_cell_angle_beta 90.00
_cell_angle_gamma 90.00
_symmetry_space_group_name_H-M 'I 4/m m m'
_symmetry_Int_Tables_number 139
_symmetry_space_group_name_Hall '-I 4 2'
loop_
_atom_site_label
_atom_site_type_symbol
_atom_site_fract_x
_atom_site_fract_y
_atom_site_fract_z
Y1 Y 0.000 0.000 0.167
Y2 Y 0.000 0.500 0.000
Hg1 Hg 0.000 0.000 0.369
C1 C 0.000 0.000 0.000
# V	359.7	Å³/cell
# total energy	-5.47	eV/atom
# M_tot	0.000	μB/atom
# distance to the lowest polymorph of the same formula	0.000	eV/atom

=====

No. 6
# YHgC2, optimized geometry, DFT PBE
data_YHgC2
_cell_length_a 4.672
_cell_length_b 4.672
_cell_length_c 13.077
_cell_angle_alpha 90.00
_cell_angle_beta 90.00
_cell_angle_gamma 90.00
_symmetry_space_group_name_H-M 'I -4 2 d'
_symmetry_Int_Tables_number 122
_symmetry_space_group_name_Hall 'I -4 2bw'
loop_
_atom_site_label
_atom_site_type_symbol
_atom_site_fract_x
_atom_site_fract_y
_atom_site_fract_z
Y1 Y 0.000 0.000 0.000
Hg1 Hg 0.000 0.000 0.500
C1 C 0.213 0.250 0.625
# V	285.5	Å³/cell
# total energy	-4.96	eV/atom
# M_tot	0.229	μB/atom

=====

No. 7
# Y12Hg3C5, optimized geometry, DFT PBE
data_Y12Hg3C5
_cell_length_a 15.857
_cell_length_b 15.857
_cell_length_c 15.857
_cell_angle_alpha 90.00
_cell_angle_beta 90.00
_cell_angle_gamma 90.00
_symmetry_space_group_name_H-M 'I a -3 d'
_symmetry_Int_Tables_number 230
_symmetry_space_group_name_Hall '-I 4bd 2c 3'
loop_
_atom_site_label
_atom_site_type_symbol
_atom_site_fract_x
_atom_site_fract_y
_atom_site_fract_z
Y1 Y 0.035 0.052 0.649
Hg1 Hg 0.000 0.250 0.125
C1 C 0.000 0.000 0.000
C2 C 0.000 0.250 0.375
# V	3987.4	Å³/cell
# total energy	-6.42	eV/atom
# M_tot	0.000	μB/atom

=====

No. 8
# YHgC3, optimized geometry, DFT PBE
data_YHgC3
_cell_length_a 4.291
_cell_length_b 4.291
_cell_length_c 4.291
_cell_angle_alpha 90.00
_cell_angle_beta 90.00
_cell_angle_gamma 90.00
_symmetry_space_group_name_H-M 'P m -3 m'
_symmetry_Int_Tables_number 221
_symmetry_space_group_name_Hall '-P 4 2 3'
loop_
_atom_site_label
_atom_site_type_symbol
_atom_site_fract_x
_atom_site_fract_y
_atom_site_fract_z
Y1 Y 0.000 0.000 0.000
Hg1 Hg 0.500 0.500 0.500
C1 C 0.000 0.500 0.500
# V	79.0	Å³/cell
# total energy	-4.45	eV/atom
# M_tot	0.044	μB/atom
# distance to the lowest polymorph of the same formula	0.000	eV/atom

=====

No. 9
# Y4HgC, optimized geometry, DFT PBE
data_Y4HgC
_cell_length_a 8.454
_cell_length_b 13.974
_cell_length_c 6.253
_cell_angle_alpha 90.00
_cell_angle_beta 120.43
_cell_angle_gamma 90.00
_symmetry_space_group_name_H-M 'C 1 2/c 1'
_symmetry_Int_Tables_number 15
loop_
_symmetry_equiv_pos_as_xyz
'x,y,z'
'-x,-y,-z'
'-x,y,-z+1/2'
'x,-y,z+1/2'
'x+1/2,y+1/2,z'
'-x+1/2,-y+1/2,-z'
'-x+1/2,y+1/2,-z+1/2'
'x+1/2,-y+1/2,z+1/2'
loop_
_atom_site_label
_atom_site_type_symbol
_atom_site_fract_x
_atom_site_fract_y
_atom_site_fract_z
Y1 Y 0.138 0.200 0.148
Y2 Y 0.215 0.049 0.688
Hg1 Hg 0.000 0.382 0.750
C1 C 0.000 0.069 0.250
# V	637.0	Å³/cell
# total energy	-6.11	eV/atom
# M_tot	0.000	μB/atom

=====

No. 10
# Y3Hg2C, optimized geometry, DFT PBE
data_Y3Hg2C
_cell_length_a 5.029
_cell_length_b 15.518
_cell_length_c 3.532
_cell_angle_alpha 90.00
_cell_angle_beta 90.00
_cell_angle_gamma 90.00
_symmetry_space_group_name_H-M 'C m m m'
_symmetry_Int_Tables_number 65
_symmetry_space_group_name_Hall '-C 2 2'
loop_
_atom_site_label
_atom_site_type_symbol
_atom_site_fract_x
_atom_site_fract_y
_atom_site_fract_z
Y1 Y 0.000 0.000 0.000
Y2 Y 0.000 0.386 0.500
Hg1 Hg 0.000 0.198 0.000
C1 C 0.000 0.500 0.000
# V	275.7	Å³/cell
# total energy	-5.29	eV/atom
# M_tot	0.000	μB/atom

=====

No. 11
# YHgC3, optimized geometry, DFT PBE
data_YHgC3
_cell_length_a 4.607
_cell_length_b 4.607
_cell_length_c 4.607
_cell_angle_alpha 90.00
_cell_angle_beta 90.00
_cell_angle_gamma 90.00
_symmetry_space_group_name_H-M 'P m -3 m'
_symmetry_Int_Tables_number 221
_symmetry_space_group_name_Hall '-P 4 2 3'
loop_
_atom_site_label
_atom_site_type_symbol
_atom_site_fract_x
_atom_site_fract_y
_atom_site_fract_z
Y1 Y 0.000 0.000 0.000
Hg1 Hg 0.500 0.500 0.500
C1 C 0.000 0.000 0.500
# V	97.8	Å³/cell
# total energy	-4.17	eV/atom
# M_tot	0.000	μB/atom
# distance to the lowest polymorph of the same formula	0.275	eV/atom

=====

No. 12
# Y2HgC, optimized geometry, DFT PBE
data_Y2HgC
_cell_length_a 3.6414
_cell_length_b 3.6414
_cell_length_c 23.3512
_cell_angle_alpha 90.00
_cell_angle_beta 90.00
_cell_angle_gamma 120.00
_symmetry_space_group_name_H-M 'R -3 m'
_symmetry_Int_Tables_number 166
_symmetry_space_group_name_Hall '-R 3 2"'
loop_
_atom_site_label
_atom_site_type_symbol
_atom_site_fract_x
_atom_site_fract_y
_atom_site_fract_z
Y1 Y 0.0000 0.0000 0.2244
Hg1 Hg 0.0000 0.0000 0.0000
C1 C 0.0000 0.0000 0.5000
# V	268.2	Å³/cell
# total energy	-6.01	eV/atom
# M_tot	0.223	μB/atom

=====

What are the density of states at the Fermi level values for these records? In order: 7.1 0.7 11.2 15.7 17.8 9.6 65.4 4.5 30.3 9.3 7.7 7.9 states/eV/cell.